This record from Alexandria describes crystalline KBeCrO3 at its relaxed geometry. The functional is PBE with a Hubbard U.

```
KBeCrO3
1.0
7.2019 0.0000 0.0000
0.0000 3.0507 0.0000
-2.6918 0.0000 6.8727
K Be Cr O
2 2 2 6
Direct
0.2157 0.2500 0.2313
0.7843 0.7500 0.7687
0.0805 0.2500 0.6073
0.9195 0.7500 0.3927
0.3349 0.7500 0.8545
0.6651 0.2500 0.1455
0.1393 0.2500 0.8359
0.1542 0.7500 0.5479
0.4785 0.7500 0.1424
0.5215 0.2500 0.8576
0.8458 0.2500 0.4521
0.8607 0.7500 0.1641
```

Calculated values
Energy: -79.5 eV for the cell shown
SG: P2_1/m (11)
Calculated volume: 12.584 Å³/atom
Magnetization: 0.50 μB/atom